Entry 1:
Li8Ga2Cu3: optimized geometry, PBE.

Computed properties:
D(E_F) in states/eV/cell: 2.58
V in Å³ per atom: 14.71
Space-group type: No. 10
Formation energy in eV/atom: -0.111

Structure (extended XYZ):
```
13
Lattice="4.5178 0.0000 0.0000 0.0000 4.4241 0.0000 -0.9198 0.0000 9.5671" Properties=species:S:1:pos:R:3 pbc="T T T"
Li 0.1921 0.0000 1.1961
Li 0.5846 2.2121 5.5691
Li 0.9173 2.2121 2.2170
Li 0.8539 0.0000 7.0008
Li 2.7441 0.0000 2.5663
Li 2.6806 2.2121 7.3501
Li 3.0134 2.2121 3.9979
Li 3.4059 0.0000 8.3710
Ga 0.6130 0.0000 4.0021
Ga 2.9850 0.0000 5.5650
Cu 0.2479 2.2121 9.0281
Cu 2.2589 0.0000 0.0000
Cu 3.3501 2.2121 0.5390
```

Entry 2:
Li12GaCu2: optimized geometry, PBE.

Computed properties:
D(E_F) in states/eV/cell: 11.12
V in Å³ per atom: 19.35
Space-group type: No. 125
Formation energy in eV/atom: 0.153

Structure (extended XYZ):
```
30
Lattice="5.2285 0.0000 0.0000 0.0000 5.2285 0.0000 0.0000 0.0000 21.2375" Properties=species:S:1:pos:R:3 pbc="T T T"
Li 0.0000 5.2284 2.0367
Li 5.2284 0.0000 19.2008
Li 5.2284 2.6142 2.0367
Li 0.0000 2.6143 19.2008
Li 0.3183 2.9325 9.3456
Li 0.3183 4.9102 11.8919
Li 1.3071 1.3071 4.2537
Li 1.3071 1.3071 6.9167
Li 1.3071 1.3071 14.3208
Li 1.3071 1.3071 16.9838
Li 2.2960 2.9325 11.8919
Li 2.2960 4.9102 9.3456
Li 2.6143 0.0000 2.0367
Li 2.6142 5.2284 19.2008
Li 2.6142 2.6143 2.0367
Li 2.6143 2.6142 19.2008
Li 2.9325 0.3183 11.8919
Li 2.9325 2.2960 9.3456
Li 3.9213 3.9213 4.2537
Li 3.9213 3.9213 6.9167
Li 3.9213 3.9213 14.3208
Li 3.9213 3.9213 16.9838
Li 4.9102 0.3183 9.3456
Li 4.9102 2.2960 11.8919
Ga 1.3071 3.9213 0.0000
Ga 3.9213 1.3071 0.0000
Cu 1.3071 3.9213 4.0297
Cu 1.3071 3.9213 17.2078
Cu 3.9213 1.3071 4.0297
Cu 3.9213 1.3071 17.2078
```

Entry 3:
LiGa2Cu2: optimized geometry, PBE.

Computed properties:
D(E_F) in states/eV/cell: 2.84
V in Å³ per atom: 14.57
Space-group type: No. 127
Formation energy in eV/atom: -0.156
Relative energy among the computed polymorphs in meV per atom: 23

Structure (extended XYZ):
```
10
Lattice="7.3723 0.0000 0.0000 0.0000 7.3723 0.0000 0.0000 0.0000 2.6815" Properties=species:S:1:pos:R:3 pbc="T T T"
Li 0.0000 0.0000 0.0000
Li 3.6862 3.6862 0.0000
Ga 1.2637 2.4225 1.3408
Ga 2.4225 6.1086 1.3408
Ga 4.9499 1.2637 1.3408
Ga 6.1086 4.9499 1.3408
Cu 0.9325 4.6186 0.0000
Cu 2.7537 0.9325 0.0000
Cu 4.6186 6.4398 0.0000
Cu 6.4398 2.7537 0.0000
```

Entry 4:
Li2GaCu6: optimized geometry, PBE.

Computed properties:
D(E_F) in states/eV/cell: 3.18
V in Å³ per atom: 13.32
Space-group type: No. 12
Formation energy in eV/atom: -0.043
Relative energy among the computed polymorphs in meV per atom: 56

Structure (extended XYZ):
```
9
Lattice="3.8351 -2.5170 0.0000 3.8351 2.5170 0.0000 -1.7918 0.0000 6.2080" Properties=species:S:1:pos:R:3 pbc="T T T"
Li 1.1439 0.0000 0.5661
Li 4.7346 0.0000 5.6419
Ga 3.8351 0.0000 0.0000
Cu 2.9470 1.2851 1.8855
Cu 1.0155 0.0000 3.2363
Cu 2.9315 1.2851 4.3225
Cu 2.9470 -1.2851 1.8855
Cu 4.8629 0.0000 2.9717
Cu 2.9315 -1.2851 4.3225
```

Entry 5:
Li2GaCu: optimized geometry, PBE.

Computed properties:
D(E_F) in states/eV/cell: 0.80
V in Å³ per atom: 13.87
Space-group type: No. 123
Formation energy in eV/atom: -0.142

Structure (extended XYZ):
```
4
Lattice="2.9876 0.0000 0.0000 0.0000 2.9876 0.0000 0.0000 0.0000 6.2152" Properties=species:S:1:pos:R:3 pbc="T T T"
Li 0.0000 0.0000 1.4685
Li 0.0000 0.0000 4.7467
Ga 1.4938 1.4938 3.1076
Cu 1.4938 1.4938 0.0000
```

Entry 6:
LiGa2Cu5: optimized geometry, PBE.

Computed properties:
D(E_F) in states/eV/cell: 3.22
V in Å³ per atom: 13.13
Space-group type: No. 63
Formation energy in eV/atom: -0.093
Relative energy among the computed polymorphs in meV per atom: 0

Structure (extended XYZ):
```
16
Lattice="1.3315 -4.8143 0.0000 1.3315 4.8143 0.0000 0.0000 0.0000 16.3870" Properties=species:S:1:pos:R:3 pbc="T T T"
Li 1.3315 3.5586 12.2902
Li 1.3315 -3.5586 4.0967
Ga 1.3315 2.3779 2.0202
Ga 1.3315 2.3779 6.1732
Ga 1.3315 -2.3779 10.2137
Ga 1.3315 -2.3779 14.3667
Cu 1.3315 3.6583 4.0967
Cu 1.3315 3.5919 8.3596
Cu 1.3315 3.5919 16.2208
Cu 1.3315 0.1830 10.1821
Cu 1.3315 0.1830 14.3983
Cu 1.3315 -0.1830 1.9887
Cu 1.3315 -0.1830 6.2048
Cu 1.3315 -3.5919 0.1661
Cu 1.3315 -3.5919 8.0273
Cu 1.3315 -3.6583 12.2902
```

Entry 7:
Li2GaCu2: optimized geometry, PBE.

Computed properties:
D(E_F) in states/eV/cell: 2.81
V in Å³ per atom: 14.23
Space-group type: No. 127
Formation energy in eV/atom: -0.078
Relative energy among the computed polymorphs in meV per atom: 108

Structure (extended XYZ):
```
10
Lattice="6.4949 0.0000 0.0000 0.0000 6.4949 0.0000 0.0000 0.0000 3.3738" Properties=species:S:1:pos:R:3 pbc="T T T"
Li 1.0747 2.1728 0.0000
Li 2.1728 5.4202 0.0000
Li 4.3221 1.0747 0.0000
Li 5.4202 4.3221 0.0000
Ga 0.0000 0.0000 1.6869
Ga 3.2474 3.2474 1.6869
Cu 0.8792 4.1266 1.6869
Cu 2.3682 0.8792 1.6869
Cu 4.1266 5.6157 1.6869
Cu 5.6157 2.3682 1.6869
```

Entry 8:
LiGa6Cu6: optimized geometry, PBE.

Computed properties:
D(E_F) in states/eV/cell: 2.83
V in Å³ per atom: 14.50
Space-group type: No. 71
Formation energy in eV/atom: -0.167
Relative energy among the computed polymorphs in meV per atom: 0

Structure (extended XYZ):
```
13
Lattice="-2.5718 4.2111 4.3503 2.5718 -4.2111 4.3503 2.5718 4.2111 -4.3503" Properties=species:S:1:pos:R:3 pbc="T T T"
Li 0.0000 0.0000 0.0000
Ga 2.5718 0.0000 1.5499
Ga 0.0000 0.0000 2.9647
Ga 0.0000 2.9060 0.0000
Ga 0.0000 5.5161 0.0000
Ga 0.0000 0.0000 5.7358
Ga 0.0000 4.2111 2.8004
Cu 1.2859 2.1055 -2.1751
Cu 1.2859 -2.1055 2.1751
Cu 2.5718 2.0364 0.0000
Cu -1.2859 2.1055 2.1751
Cu 1.2859 2.1055 2.1751
Cu 0.0000 2.1747 4.3503
```

Entry 9:
LiGa5Cu2: optimized geometry, PBE.

Computed properties:
D(E_F) in states/eV/cell: 4.73
V in Å³ per atom: 17.26
Space-group type: No. 71
Formation energy in eV/atom: -0.082

Structure (extended XYZ):
```
16
Lattice="3.8827 0.0000 0.0000 0.0000 7.3512 0.0000 0.0000 0.0000 9.6765" Properties=species:S:1:pos:R:3 pbc="T T T"
Li 0.0000 0.0000 0.0000
Li 1.9414 3.6756 4.8383
Ga 0.0000 1.4409 3.4178
Ga 0.0000 1.4409 6.2587
Ga 0.0000 3.6756 0.0000
Ga 0.0000 5.9103 3.4178
Ga 0.0000 5.9103 6.2587
Ga 1.9414 0.0000 4.8383
Ga 1.9414 2.2347 1.4205
Ga 1.9414 2.2347 8.2561
Ga 1.9414 5.1166 1.4205
Ga 1.9414 5.1166 8.2561
Cu 0.0000 3.6756 2.4424
Cu 0.0000 3.6756 7.2342
Cu 1.9414 0.0000 2.3959
Cu 1.9414 0.0000 7.2806
```

Entry 10:
LiGa2Cu5: optimized geometry, PBE.

Computed properties:
D(E_F) in states/eV/cell: 6.41
V in Å³ per atom: 13.30
Space-group type: No. 71
Formation energy in eV/atom: -0.090
Relative energy among the computed polymorphs in meV per atom: 2

Structure (extended XYZ):
```
16
Lattice="2.6673 0.0000 0.0000 0.0000 8.1298 0.0000 0.0000 0.0000 9.8134" Properties=species:S:1:pos:R:3 pbc="T T T"
Li 0.0000 0.0000 0.0000
Li 1.3337 4.0649 4.9067
Ga 0.0000 4.0649 2.5226
Ga 0.0000 4.0649 7.2908
Ga 1.3337 0.0000 2.3841
Ga 1.3337 0.0000 7.4293
Cu 0.0000 1.8615 3.6451
Cu 0.0000 1.8615 6.1683
Cu 0.0000 4.0649 0.0000
Cu 0.0000 6.2683 3.6451
Cu 0.0000 6.2683 6.1683
Cu 1.3337 0.0000 4.9067
Cu 1.3337 2.2034 1.2616
Cu 1.3337 2.2034 8.5518
Cu 1.3337 5.9264 1.2616
Cu 1.3337 5.9264 8.5518
```

Entry 11:
Li6GaCu2: optimized geometry, PBE.

Computed properties:
D(E_F) in states/eV/cell: 3.39
V in Å³ per atom: 16.58
Space-group type: No. 166
Formation energy in eV/atom: -0.056
Relative energy among the computed polymorphs in meV per atom: 37

Structure (extended XYZ):
```
9
Lattice="2.2408 1.2937 8.5782 -2.2408 1.2937 8.5782 0.0000 -2.5875 8.5782" Properties=species:S:1:pos:R:3 pbc="T T T"
Li 0.0000 0.0000 2.1606
Li 0.0000 0.0000 5.1121
Li 0.0000 0.0000 7.9112
Li 0.0000 0.0000 17.8233
Li 0.0000 0.0000 20.6224
Li 0.0000 0.0000 23.5739
Ga 0.0000 0.0000 12.8672
Cu 0.0000 0.0000 10.5100
Cu 0.0000 0.0000 15.2245
```

Entry 12:
LiGa2Cu: optimized geometry, PBE.

Computed properties:
D(E_F) in states/eV/cell: 6.41
V in Å³ per atom: 16.62
Space-group type: No. 122
Formation energy in eV/atom: 0.018

Structure (extended XYZ):
```
16
Lattice="3.8755 0.0000 0.0000 0.0000 3.8755 0.0000 0.0000 0.0000 17.7076" Properties=species:S:1:pos:R:3 pbc="T T T"
Li 0.0000 0.0000 0.0000
Li 0.0000 1.9377 4.4269
Li 1.9377 0.0000 13.2807
Li 1.9377 1.9377 8.8538
Ga 0.9381 0.9689 11.0672
Ga 0.9689 2.8758 15.4941
Ga 0.9689 2.9374 6.6403
Ga 0.9996 0.9689 2.2134
Ga 2.8758 2.9066 2.2134
Ga 2.9066 0.9381 6.6403
Ga 2.9066 0.9996 15.4941
Ga 2.9374 2.9066 11.0672
Cu 0.0000 0.0000 8.8538
Cu 0.0000 1.9377 13.2807
Cu 1.9377 0.0000 4.4269
Cu 1.9377 1.9377 0.0000
```

Entry 13:
Li3Ga2Cu4: optimized geometry, PBE.

Computed properties:
D(E_F) in states/eV/cell: 2.28
V in Å³ per atom: 13.04
Space-group type: No. 2
Formation energy in eV/atom: -0.176
Relative energy among the computed polymorphs in meV per atom: 20

Structure (extended XYZ):
```
9
Lattice="4.4787 0.0000 0.0000 2.1333 4.0881 0.0000 1.5144 -0.4967 6.4097" Properties=species:S:1:pos:R:3 pbc="T T T"
Li 0.0000 0.0000 0.0000
Li 4.3157 2.4227 4.2993
Li 3.8107 1.1687 2.1103
Ga 2.0720 1.0558 4.3580
Ga 6.0544 2.5355 2.0517
Cu 3.7565 3.9205 2.1599
Cu 3.6987 0.8155 6.3727
Cu 4.4278 2.7758 0.0370
Cu 4.3700 -0.3292 4.2498
```

Entry 14:
Li2GaCu: optimized geometry, PBE.

Computed properties:
D(E_F) in states/eV/cell: 3.43
V in Å³ per atom: 15.39
Space-group type: No. 122
Formation energy in eV/atom: -0.001

Structure (extended XYZ):
```
16
Lattice="7.0896 0.0000 0.0000 0.0000 7.0896 0.0000 0.0000 0.0000 4.8989" Properties=species:S:1:pos:R:3 pbc="T T T"
Li 1.6277 1.7724 0.6124
Li 1.7724 5.1724 1.8371
Li 1.7724 5.4619 4.2865
Li 1.9171 1.7724 3.0618
Li 5.1724 5.3172 3.0618
Li 5.3172 1.6277 4.2865
Li 5.3172 1.9171 1.8371
Li 5.4619 5.3172 0.6124
Ga 0.0000 0.0000 2.4494
Ga 0.0000 3.5448 3.6741
Ga 3.5448 0.0000 1.2247
Ga 3.5448 3.5448 0.0000
Cu 0.0000 0.0000 0.0000
Cu 0.0000 3.5448 1.2247
Cu 3.5448 0.0000 3.6741
Cu 3.5448 3.5448 2.4494
```

Entry 15:
LiGa2Cu: optimized geometry, PBE.

Computed properties:
D(E_F) in states/eV/cell: 1.90
V in Å³ per atom: 15.47
Space-group type: No. 2
Formation energy in eV/atom: -0.182

Structure (extended XYZ):
```
8
Lattice="4.2048 0.0000 0.0000 2.0586 4.9384 0.0000 2.1017 0.0639 5.9620" Properties=species:S:1:pos:R:3 pbc="T T T"
Li 1.0478 0.9307 1.8236
Li 7.3173 4.0716 4.1383
Ga 3.1347 1.0205 4.0588
Ga 5.2037 3.9402 5.9268
Ga 3.1614 1.0620 0.0352
Ga 5.2304 3.9818 1.9032
Cu 3.1367 2.5719 2.1011
Cu 5.2284 2.4303 3.8608
```

Entry 16:
Li3Ga4Cu: optimized geometry, PBE.

Computed properties:
D(E_F) in states/eV/cell: 4.83
V in Å³ per atom: 15.14
Space-group type: No. 12
Formation energy in eV/atom: -0.242
Relative energy among the computed polymorphs in meV per atom: 0

Structure (extended XYZ):
```
16
Lattice="16.0680 0.0000 0.0000 0.0000 3.9412 0.0000 -0.9551 0.0000 3.8245" Properties=species:S:1:pos:R:3 pbc="T T T"
Li 0.0000 0.0000 0.0000
Li 3.7362 0.0000 0.9441
Li 3.3427 1.9706 2.8804
Li 8.0340 1.9706 0.0000
Li 11.7702 1.9706 0.9441
Li 11.3767 0.0000 2.8804
Ga 1.3050 0.0000 2.3615
Ga 1.7821 1.9706 0.4510
Ga 5.2968 0.0000 3.3735
Ga 5.7739 1.9706 1.4630
Ga 9.8161 0.0000 0.4510
Ga 9.3390 1.9706 2.3615
Ga 13.8078 0.0000 1.4630
Ga 13.3308 1.9706 3.3735
Cu -0.4776 1.9706 1.9122
Cu 7.5564 0.0000 1.9122
```

Entry 17:
Li3Ga3Cu2: optimized geometry, PBE.

Computed properties:
D(E_F) in states/eV/cell: 1.72
V in Å³ per atom: 14.14
Space-group type: No. 2
Formation energy in eV/atom: -0.209

Structure (extended XYZ):
```
8
Lattice="3.3656 0.0000 0.0000 0.0003 4.1282 0.0000 1.6683 1.9533 8.1410" Properties=species:S:1:pos:R:3 pbc="T T T"
Li 0.0000 0.0000 0.0000
Li 1.6731 4.0545 6.0245
Li 3.3611 2.0269 2.1165
Ga 1.6742 4.0883 2.1885
Ga 1.6829 2.0641 0.0000
Ga 3.3600 1.9932 5.9525
Cu 1.6759 2.0121 4.0910
Cu 3.3583 4.0693 4.0500
```

Entry 18:
LiGa6Cu: optimized geometry, PBE.

Computed properties:
D(E_F) in states/eV/cell: 5.61
V in Å³ per atom: 18.30
Space-group type: No. 12
Formation energy in eV/atom: -0.003

Structure (extended XYZ):
```
16
Lattice="6.2070 0.0000 0.0000 0.0000 9.7225 0.0000 -2.3430 0.0000 4.8526" Properties=species:S:1:pos:R:3 pbc="T T T"
Li 0.0000 0.0000 0.0000
Li 3.1035 4.8612 0.0000
Ga -1.5014 2.2315 3.7173
Ga -1.5014 7.4910 3.7173
Ga -0.2786 4.8612 1.3722
Ga 1.0390 0.0000 3.4804
Ga 2.2619 2.6298 1.1353
Ga 2.2619 7.0927 1.1353
Ga 1.6021 2.6298 3.7173
Ga 1.6021 7.0927 3.7173
Ga 2.8249 0.0000 1.3722
Ga 4.1425 4.8612 3.4804
Ga 5.3654 2.2315 1.1353
Ga 5.3654 7.4910 1.1353
Cu -1.1715 0.0000 2.4263
Cu 1.9320 4.8612 2.4263
```

Entry 19:
LiGa4Cu7: optimized geometry, PBE.

Computed properties:
D(E_F) in states/eV/cell: 3.63
V in Å³ per atom: 14.59
Space-group type: No. 12
Formation energy in eV/atom: -0.003

Structure (extended XYZ):
```
12
Lattice="5.9292 -2.1199 0.0000 5.9292 2.1199 0.0000 -5.9100 0.0000 6.9654" Properties=species:S:1:pos:R:3 pbc="T T T"
Li 0.0000 0.0000 0.0000
Ga 0.0037 0.0000 4.4508
Ga 3.6431 0.0000 1.1188
Ga 2.3053 0.0000 5.8466
Ga 5.9447 0.0000 2.5146
Cu -1.8514 0.0000 2.7727
Cu -2.1153 0.0000 5.6564
Cu 1.8491 0.0000 2.7865
Cu 5.9292 0.0000 0.0000
Cu 4.0993 0.0000 4.1790
Cu 8.0637 0.0000 1.3091
Cu 7.7998 0.0000 4.1927
```

Entry 20:
Li2GaCu4: optimized geometry, PBE.

Computed properties:
D(E_F) in states/eV/cell: 3.90
V in Å³ per atom: 13.67
Space-group type: No. 15
Formation energy in eV/atom: -0.049
Relative energy among the computed polymorphs in meV per atom: 30

Structure (extended XYZ):
```
14
Lattice="4.3165 -2.5165 0.0000 4.3165 2.5165 0.0000 -0.9078 0.0000 8.8120" Properties=species:S:1:pos:R:3 pbc="T T T"
Li 2.5509 1.2683 8.7652
Li 4.7204 1.2683 4.4528
Li 3.0048 -1.2683 4.3592
Li 5.1743 -1.2683 0.0468
Ga 1.7044 1.2582 4.4060
Ga 2.1582 -1.2582 0.0000
Cu 3.6357 1.3252 6.6090
Cu 1.4728 0.0467 6.6127
Cu 1.9267 -0.0467 2.2067
Cu 4.0895 1.1852 2.2030
Cu 3.6357 -1.1852 6.6090
Cu 5.7985 0.0467 6.6053
Cu 6.2524 -0.0467 2.1993
Cu 4.0895 -1.3252 2.2030
```

Entry 21:
LiGa6Cu6: optimized geometry, PBE.

Computed properties:
D(E_F) in states/eV/cell: 5.20
V in Å³ per atom: 14.53
Space-group type: No. 191
Formation energy in eV/atom: -0.158
Relative energy among the computed polymorphs in meV per atom: 9

Structure (extended XYZ):
```
13
Lattice="5.0976 0.0000 0.0000 -2.5488 4.4147 0.0000 0.0000 0.0000 8.3911" Properties=species:S:1:pos:R:3 pbc="T T T"
Li 0.0000 0.0000 0.0000
Ga 0.0000 0.0000 2.8989
Ga 0.0000 0.0000 5.4922
Ga 0.0000 2.9431 0.0000
Ga 0.0000 2.9431 4.1955
Ga 2.5488 1.4716 0.0000
Ga 2.5488 1.4716 4.1955
Cu -1.2744 2.2073 2.0697
Cu -1.2744 2.2073 6.3214
Cu 2.5488 0.0000 2.0697
Cu 2.5488 0.0000 6.3214
Cu 1.2744 2.2073 2.0697
Cu 1.2744 2.2073 6.3214
```

Entry 22:
LiLuGaCu: optimized geometry, PBE.

Computed properties:
D(E_F) in states/eV/cell: 3.46
V in Å³ per atom: 16.10
Space-group type: No. 216
Formation energy in eV/atom: -0.370

Structure (extended XYZ):
```
16
Lattice="6.3629 0.0000 0.0000 0.0000 6.3629 0.0000 0.0000 0.0000 6.3629" Properties=species:S:1:pos:R:3 pbc="T T T"
Li 0.0000 0.0000 0.0000
Li 0.0000 3.1814 3.1814
Li 3.1814 0.0000 3.1814
Li 3.1814 3.1814 0.0000
Lu 1.5907 1.5907 1.5907
Lu 1.5907 4.7722 4.7722
Lu 4.7722 1.5907 4.7722
Lu 4.7722 4.7722 1.5907
Ga 1.5907 1.5907 4.7722
Ga 1.5907 4.7722 1.5907
Ga 4.7722 1.5907 1.5907
Ga 4.7722 4.7722 4.7722
Cu 0.0000 0.0000 3.1814
Cu 0.0000 3.1814 0.0000
Cu 3.1814 0.0000 0.0000
Cu 3.1814 3.1814 3.1814
```